[1]
Computed, not measured: LiSmTl2F6 after structural relaxation at the GGA-PBE level of DFT.

The space group is Cm (No. 8) and the conventional cell measures 8.7611, 8.7581 and 6.1984 Å, with angles of 90.00, 134.91 and 90.00 degrees. The inequivalent atoms are Li at (0.0000, 0.0000, 0.0000), Sm at (0.0000, 0.5000, 0.0000), Tl at (0.0003, 0.2495, 0.5007), F at (0.2423, 0.0000, 0.9989), F at (0.2432, 0.0000, 0.4867), F at (0.2571, 0.5000, 0.0000), F at (0.2566, 0.5000, 0.5131) and F at (0.4995, 0.2572, 0.9993).

The formation energy (no corrections) comes out at -278.7 kJ/mol of atoms. The electronic total energy comes out at -102.959 eV/cell. The calculation puts the calculated volume at 336.84 Å³/cell. For the density of states at the Fermi level, the calculation gives 0.000 states/eV/atom.


[2]
Computed, not measured: RbSnCl2 after structural relaxation at the GGA-PBE level of DFT.

The space group is R-3m (No. 166, hexagonal axes) and the conventional cell measures 4.1354, 4.1354 and 28.9635 Å, with angles of 90.00, 90.00 and 120.00 degrees. The inequivalent atoms are Rb at (0.0000, 0.0000, 0.0000), Sn at (0.0000, 0.0000, 0.5000) and Cl at (0.0000, 0.0000, 0.4066).

The formation energy (no corrections) comes out at -103.7 kJ/mol of atoms. As for the distance to the lowest polymorph of the same formula: 0 meV per atom. The electronic total energy comes out at -38.886 eV/cell. The calculation puts the calculated volume at 428.95 Å³/cell. For the density of states at the Fermi level, the calculation gives 0.209 states/eV/atom.


[3]
Computed, not measured: TiTlRh2 after structural relaxation at the GGA-PBE level of DFT.

The space group is P4/mmm (No. 123) and the conventional cell measures 4.2792, 4.2792 and 3.5802 Å, with angles of 90.00, 90.00 and 90.00 degrees. The inequivalent atoms are Ti at (0.0000, 0.0000, 0.0000), Tl at (0.5000, 0.5000, 0.0000) and Rh at (0.0000, 0.5000, 0.5000).

The value obtained for the formation energy is -0.30 eV/atom. The electronic total energy comes out at -26.182 eV/cell. The calculation puts the calculated volume at 65.56 Å³/cell. For the density of states at the Fermi level, the calculation gives 0.617 states/eV/atom.


[4]
Computed, not measured: InIrAu2 after structural relaxation at the GGA-PBE level of DFT.

The space group is R-3m (No. 166, hexagonal axes) and the conventional cell measures 2.9873, 2.9873 and 28.1023 Å, with angles of 90.00, 90.00 and 120.00 degrees. The inequivalent atoms are In at (0.0000, 0.0000, 0.0000), Ir at (0.0000, 0.0000, 0.5000) and Au at (0.0000, 0.0000, 0.2470).

The value obtained for the formation energy is 0.33 eV/atom. The electronic total energy comes out at -50.462 eV/cell. The calculation puts the calculated volume at 217.19 Å³/cell. For the density of states at the Fermi level, the calculation gives 1.115 states/eV/atom.


[5]
Computed, not measured: CeEr2Tm4 after structural relaxation at the GGA-PBE level of DFT.

The space group is Cm (No. 8) and the conventional cell measures 6.1162, 3.5321 and 19.7741 Å, with angles of 90.00, 95.94 and 90.00 degrees. The inequivalent atoms are Ce at (0.0000, 0.0000, 0.0000), Er at (0.3107, 0.5000, 0.4284), Er at (0.4055, 0.5000, 0.7130), Tm at (0.0959, 0.0000, 0.2860), Tm at (0.1191, 0.5000, 0.8552), Tm at (0.1917, 0.0000, 0.5700) and Tm at (0.2148, 0.5000, 0.1450).

The value obtained for the formation energy is 0.03 eV/atom. As for the distance to the lowest polymorph of the same formula: 0 meV per atom. The electronic total energy comes out at -65.492 eV/cell. The calculation puts the calculated volume at 424.89 Å³/cell. For the density of states at the Fermi level, the calculation gives 1.845 states/eV/atom.


[6]
Computed, not measured: NaB2P2 after structural relaxation at the GGA-PBE level of DFT.

The space group is P4/mbm (No. 127) and the conventional cell measures 7.0043, 7.0043 and 2.9598 Å, with angles of 90.00, 90.00 and 90.00 degrees. The inequivalent atoms are Na at (0.0000, 0.0000, 0.0000), B at (0.0942, 0.4058, 0.5000) and P at (0.1226, 0.6226, 0.0000).

The value obtained for the formation energy is 0.74 eV/atom. As for the distance to the lowest polymorph of the same formula: 529 meV per atom. The electronic total energy comes out at -43.565 eV/cell. The calculation puts the calculated volume at 145.21 Å³/cell. For the density of states at the Fermi level, the calculation gives 0.454 states/eV/atom.


[7]
Computed, not measured: PuUBr6 after structural relaxation at the GGA-PBE level of DFT.

The space group is P-1 (No. 2) and the conventional cell measures 7.1935, 7.1967 and 7.8541 Å, with angles of 62.81, 62.77 and 60.02 degrees. The inequivalent atoms are Pu at (0.0000, 0.0000, 0.0000), U at (0.5000, 0.5000, 0.5000), Br at (0.0952, 0.7460, 0.7460), Br at (0.2546, 0.5877, 0.2533) and Br at (0.4122, 0.0960, 0.7459).

The formation energy (no corrections) comes out at -134.3 kJ/mol of atoms. As for the distance to the lowest polymorph of the same formula: 12 meV per atom. The electronic total energy comes out at -46.794 eV/cell. The calculation puts the calculated volume at 299.07 Å³/cell. For the density of states at the Fermi level, the calculation gives 2.693 states/eV/atom.


[8]
Computed, not measured: Mn2TcOsPt after structural relaxation at the GGA-PBE level of DFT.

The space group is P4/mmm (No. 123) and the conventional cell measures 4.5038, 4.5038 and 4.6014 Å, with angles of 90.00, 90.00 and 90.00 degrees. The inequivalent atoms are Mn at (0.0000, 0.5000, 0.0000), Tc at (0.0000, 0.0000, 0.0000), Os at (0.0000, 0.0000, 0.5000) and Pt at (0.5000, 0.5000, 0.5000).

The value obtained for the formation energy is 1.48 eV/atom. The electronic total energy comes out at -38.566 eV/cell. The calculation puts the calculated volume at 93.34 Å³/cell. For the density of states at the Fermi level, the calculation gives 1.101 states/eV/atom.